## Sm3YSc (PBE-GGA)

Data for a relaxed Sm3YSc crystal.

Values from the calculation:
The calculation puts the energy above the most stable polymorph in this dataset at 0.000 eV/f.u. The energy of formation is 0.043 eV/atom.

a b c (Å): 8.7365 8.7365 7.0494
angles (deg): 90.04 90.04 36.07
Last column: nearest neighbours and their distance in Å.
Positions (direct):
Sm  0.0033  0.0033  0.2516  1 Sc 3.27, 3 Sm 3.40-3.55
Sm  0.2015  0.2015  0.7502  3 Sc 3.16-3.51, 1 Sm 3.40
Sm  0.3889  0.3889  0.9980  2 Y 3.49-3.55, 3 Sc 3.55-3.62, 8 Sm 3.57-3.76
Sm  0.6111  0.6111  0.0020  2 Y 3.49-3.55, 3 Sc 3.55-3.62, 8 Sm 3.57-3.76
Sm  0.7985  0.7985  0.2498  3 Sc 3.16-3.51, 1 Sm 3.40
Sm  0.9967  0.9967  0.7484  1 Sc 3.27, 3 Sm 3.40-3.55
Y  0.3875  0.3875  0.5023  9 Sm 3.49-3.76, 3 Sc 3.52-3.58, 1 Y 3.74
Y  0.6125  0.6125  0.4977  9 Sm 3.49-3.76, 3 Sc 3.52-3.58, 1 Y 3.74
Sc  0.2000  0.2000  0.2527  4 Sm 3.16-3.51, 2 Y 3.52
Sc  0.8000  0.8000  0.7473  4 Sm 3.16-3.51, 2 Y 3.52


## SmY2Sc4 (PBE-GGA)

Data for a relaxed SmY2Sc4 crystal.

Values from the calculation:
The calculation puts the energy above the most stable polymorph in this dataset at 0.000 eV/f.u. The energy of formation is 0.064 eV/atom.

a b c (Å): 5.9037 7.6121 8.9809
angles (deg): 90.20 90.12 105.14
Last column: nearest neighbours and their distance in Å.
Positions (direct):
Sm  0.0000  0.0000  0.0000  7 Sc 3.35-3.47, 2 Sm 3.41-3.46, 3 Y 3.42-3.45
Sm  0.4302  0.7769  0.0718  7 Sc 3.33-3.51, 2 Sm 3.41-3.46, 3 Y 3.45-3.51
Y  0.0031  0.4936  0.5076  9 Sc 3.32-3.44, 3 Y 3.43-3.53
Y  0.1483  0.9394  0.3642  7 Sc 3.33-3.50, 3 Y 3.42-3.53, 2 Sm 3.45-3.50
Y  0.5755  0.2217  0.9302  9 Sc 3.33-3.43, 3 Sm 3.42-3.51
Y  0.5768  0.7151  0.4361  7 Sc 3.34-3.46, 4 Y 3.42-3.46, 1 Sm 3.45
Sc  0.1460  0.4311  0.8579  3 Y 3.32-3.39, 2 Sm 3.33-3.42, 7 Sc 3.37-3.43
Sc  0.2890  0.3588  0.2186  2 Sm 3.35-3.43, 4 Y 3.35-3.41, 6 Sc 3.36-3.43
Sc  0.2886  0.8580  0.7176  4 Y 3.38-3.42, 6 Sc 3.38-3.41, 2 Sm 3.39
Sc  0.4330  0.2845  0.5782  5 Y 3.33-3.42, 7 Sc 3.36-3.42
Sc  0.7162  0.1519  0.2924  5 Sc 3.32-3.40, 5 Y 3.32-3.46, 2 Sm 3.47-3.51
Sc  0.7178  0.6431  0.7870  3 Y 3.34-3.38, 7 Sc 3.37-3.42, 2 Sm 3.37-3.38
Sc  0.8601  0.0730  0.6483  4 Y 3.34-3.39, 1 Sm 3.35, 7 Sc 3.37-3.41
Sc  0.8627  0.5651  0.1455  5 Sc 3.32-3.42, 4 Y 3.33-3.50, 3 Sm 3.38-3.46


## Sm4Y2Sc5 (PBE-GGA)

Data for a relaxed Sm4Y2Sc5 crystal.

Values from the calculation:
The energy of formation is 0.239 eV/atom.

a b c (Å): 12.5493 12.5493 8.4165
angles (deg): 109.44 109.44 15.38
Last column: nearest neighbours and their distance in Å.
Positions (direct):
Sm  0.0318  0.0318  0.3641  3 Sm 3.19-3.36, 3 Sc 3.21-3.35
Sm  0.3835  0.3835  0.2285  2 Sm 3.36, 2 Sc 3.48, 1 Y 3.60
Sm  0.6165  0.6165  0.7715  2 Sm 3.36, 2 Sc 3.48, 1 Y 3.60
Sm  0.9682  0.9682  0.6359  3 Sm 3.19-3.36, 3 Sc 3.21-3.35
Y  0.2321  0.2321  0.1488  3 Sc 3.01-3.36, 2 Y 3.36
Y  0.7679  0.7679  0.8512  3 Sc 3.01-3.36, 2 Y 3.36
Sc  0.1086  0.1086  0.1246  1 Y 3.01, 5 Sc 3.05-3.36, 1 Sm 3.21
Sc  0.1919  0.1919  0.5025  5 Sc 3.16-3.36, 3 Y 3.36-3.44
Sc  0.5000  0.5000  0.0000  6 Sc 3.05-3.36, 4 Sm 3.35
Sc  0.8081  0.8081  0.4975  5 Sc 3.16-3.36, 3 Y 3.36-3.44
Sc  0.8914  0.8914  0.8754  1 Y 3.01, 5 Sc 3.05-3.36, 1 Sm 3.21


## Sm4Y3Sc4 (PBE-GGA)

Data for a relaxed Sm4Y3Sc4 crystal.

Values from the calculation:
The energy of formation is 0.131 eV/atom.

a b c (Å): 10.2503 6.5149 6.5149
angles (deg): 50.09 90.00 90.00
Last column: nearest neighbours and their distance in Å.
Positions (direct):
Sm  0.0000  0.0000  0.0000  3 Sc 3.03-3.30
Sm  0.2183  0.4554  0.4554  4 Sc 3.24-3.47, 2 Y 3.46-3.57, 2 Sm 3.59
Sm  0.5000  0.9124  0.9124  4 Sc 3.03-3.30
Sm  0.7817  0.4554  0.4554  4 Sc 3.24-3.47, 2 Y 3.46-3.57, 2 Sm 3.59
Y  0.1900  0.7566  0.7566  4 Sc 3.33-3.38, 5 Sm 3.47-3.67, 1 Y 3.58
Y  0.5000  0.6168  0.6168  5 Sm 3.46-3.66, 7 Sc 3.51-3.66, 2 Y 3.58
Y  0.8100  0.7566  0.7566  4 Sc 3.33-3.38, 5 Sm 3.47-3.67, 1 Y 3.58
Sc  0.0000  0.2565  0.2565  3 Sm 3.03-3.24, 2 Sc 3.35, 4 Y 3.38
Sc  0.2890  0.1235  0.1235  2 Sc 3.06-3.35, 2 Sm 3.30, 2 Y 3.33
Sc  0.5000  0.3070  0.3070  4 Sm 3.03-3.38, 2 Sc 3.06
Sc  0.7110  0.1235  0.1235  2 Sc 3.06-3.35, 2 Sm 3.30, 2 Y 3.33


## SmYSc4 (PBE-GGA)

Data for a relaxed SmYSc4 crystal.

Values from the calculation:
The calculation puts the energy above the most stable polymorph in this dataset at 0.880 eV/f.u. The energy of formation is 0.215 eV/atom.

a b c (Å): 6.2999 6.2999 6.2999
angles (deg): 60.00 60.00 60.00
Last column: nearest neighbours and their distance in Å.
Positions (direct):
Sm  0.0000  0.0000  0.0000  12 Sc 3.69, 4 Y 3.86
Y  0.7500  0.7500  0.7500  12 Sc 3.69, 4 Sm 3.86
Sc  0.3748  0.3748  0.3748  6 Sc 3.15
Sc  0.3748  0.3748  0.8755  6 Sc 3.15
Sc  0.3748  0.8755  0.3748  6 Sc 3.15
Sc  0.8755  0.3748  0.3748  6 Sc 3.15


## SmY6Sc3 (PBE-GGA)

Data for a relaxed SmY6Sc3 crystal.

Values from the calculation:
The calculation puts the energy above the most stable polymorph in this dataset at 0.000 eV/f.u. The energy of formation is 0.053 eV/atom.

a b c (Å): 10.9616 4.9527 11.0480
angles (deg): 90.00 90.60 90.00
Last column: nearest neighbours and their distance in Å.
Positions (direct):
Sm  0.0501  0.2500  0.4018  2 Sm 3.48, 10 Y 3.52-3.59
Sm  0.9499  0.7500  0.5982  2 Sm 3.48, 10 Y 3.52-3.59
Y  0.0544  0.7500  0.9025  4 Sc 3.43-3.54, 7 Y 3.46-3.55, 1 Sm 3.54
Y  0.1533  0.7500  0.2011  8 Y 3.46-3.60, 2 Sc 3.49, 2 Sm 3.52
Y  0.1608  0.2500  0.7071  4 Sc 3.39-3.41, 5 Y 3.49-3.60, 3 Sm 3.57-3.59
Y  0.2628  0.7500  0.5072  4 Sc 3.38-3.43, 5 Y 3.51-3.58, 3 Sm 3.58-3.59
Y  0.3607  0.2500  0.3025  5 Sc 3.38-3.51, 6 Y 3.50-3.54, 1 Sm 3.59
Y  0.4545  0.7500  0.0996  7 Sc 3.41-3.48, 5 Y 3.47-3.50
Y  0.5455  0.2500  0.9004  7 Sc 3.41-3.48, 5 Y 3.47-3.50
Y  0.6393  0.7500  0.6975  5 Sc 3.38-3.51, 6 Y 3.50-3.54, 1 Sm 3.59
Y  0.7372  0.2500  0.4928  4 Sc 3.38-3.43, 5 Y 3.51-3.58, 3 Sm 3.58-3.59
Y  0.8392  0.7500  0.2929  4 Sc 3.39-3.41, 5 Y 3.49-3.60, 3 Sm 3.57-3.59
Y  0.8467  0.2500  0.7989  8 Y 3.46-3.60, 2 Sc 3.49, 2 Sm 3.52
Y  0.9456  0.2500  0.0975  4 Sc 3.43-3.54, 7 Y 3.46-3.55, 1 Sm 3.54
Sc  0.2527  0.2500  0.0027  10 Y 3.41-3.54, 2 Sc 3.47
Sc  0.3505  0.7500  0.8066  8 Y 3.40-3.43, 4 Sc 3.47-3.53
Sc  0.4508  0.2500  0.6030  8 Y 3.38-3.45, 4 Sc 3.53-3.54
Sc  0.5492  0.7500  0.3970  8 Y 3.38-3.45, 4 Sc 3.53-3.54
Sc  0.6495  0.2500  0.1934  8 Y 3.40-3.43, 4 Sc 3.47-3.53
Sc  0.7473  0.7500  0.9973  10 Y 3.41-3.54, 2 Sc 3.47


Number 1: uncorrected energy -5.35 eV/atom. Number 2: uncorrected energy -6.07 eV/atom. Number 3: uncorrected energy -5.53 eV/atom. Number 4: uncorrected energy -5.65 eV/atom. Number 5: uncorrected energy -5.87 eV/atom. Number 6: uncorrected energy -6.20 eV/atom.